Computed, not measured: a relaxed SrLiPr2Se4 crystal at the PBE-GGA level of DFT.

Properties
SG: Cmcm, No. 63
E_form (uncorrected) in eV/atom: -1.7888

a b c (Å): 4.2306 7.3666 14.7778
angles (deg): 90.00 90.00 106.69
Element x y z (fractional)
Pr: 0.3698 0.7397 0.9422
Pr: 0.6302 0.2603 0.4422
Pr: 0.6302 0.2603 0.0578
Pr: 0.3698 0.7397 0.5578
Sr: 0.8836 0.7672 0.2500
Sr: 0.1164 0.2328 0.7500
Se: 0.5516 0.1033 0.2500
Se: 0.7264 0.4527 0.8770
Se: 0.2736 0.5473 0.1230
Se: 0.4484 0.8967 0.7500
Se: 0.0000 0.0000 0.0000
Se: 0.2736 0.5473 0.3770
Se: 0.0000 0.0000 0.5000
Se: 0.7264 0.4527 0.6230
Li: 0.1521 0.3041 0.2500
Li: 0.8479 0.6959 0.7500